Entry 1:
The following is a DFT calculation (PBEsol) of an optimized crystal structure of BeFe2Mo.

POSCAR file:
```
BeFe2Mo
1.0
2.575 0.000 0.000
1.288 2.230 0.000
1.288 0.743 7.808
Be Mo Fe
1 1 2
Cartesian
0.000 0.000 0.000
2.575 1.487 3.904
1.288 0.743 1.766
3.863 2.230 6.042
```

Calculated values
Electronic total energy   -8.17 eV/atom
Energy of formation   0.249 eV per atom
Density   8.0 Mg/m³
Space-group type   R-3m, No. 166
M_tot   1.97 μB per formula unit
Calculated volume   44.8 Å³ per cell

=====

Entry 2:
The following is a DFT calculation (PBEsol) of an optimized crystal structure of BeFe2Mo.

POSCAR file:
```
BeFe2Mo
1.0
-0.629 -2.102 2.030
-1.935 -1.957 -2.626
3.176 -1.867 -0.949
Be Mo Fe
1 1 2
Cartesian
-0.315 -1.051 1.015
0.306 -2.963 -0.772
1.588 -0.934 -0.474
-0.968 -0.978 -1.313
```

Calculated values
Electronic total energy   -8.43 eV/atom
Energy of formation   -0.011 eV per atom
Density   8.3 Mg/m³
Space-group type   P4/mmm, No. 123
M_tot   0.00 μB per formula unit
Calculated volume   43.3 Å³ per cell

=====

Entry 3:
The following is a DFT calculation (PBEsol) of an optimized crystal structure of BeFeMo2.

POSCAR file:
```
BeFeMo2
1.0
-1.224 -2.195 0.811
2.289 -1.313 -0.099
1.285 1.739 6.646
Be Mo Fe
1 2 1
Cartesian
0.532 -1.754 0.356
0.970 1.312 5.015
0.316 0.427 1.632
1.175 -0.885 3.679
```

Calculated values
Electronic total energy   -9.02 eV/atom
Energy of formation   0.101 eV per atom
Density   8.7 Mg/m³
Space-group type   P4/mmm, No. 123
M_tot   0.01 μB per formula unit
Calculated volume   48.7 Å³ per cell

=====

Entry 4:
The following is a DFT calculation (PBEsol) of an optimized crystal structure of BeFeMo2.

POSCAR file:
```
BeFeMo2
1.0
3.053 0.000 0.000
0.000 4.046 0.000
-1.527 -2.023 4.024
Be Mo Fe
1 2 1
Cartesian
0.000 2.023 0.000
1.527 2.023 2.034
0.000 0.000 1.990
1.527 0.000 0.000
```

Calculated values
Electronic total energy   -9.01 eV/atom
Energy of formation   0.113 eV per atom
Density   8.6 Mg/m³
Space-group type   Immm, No. 71
M_tot   0.70 μB per formula unit
Calculated volume   49.7 Å³ per cell

=====

Repeat the fourth record exactly.
The following is a DFT calculation (PBEsol) of an optimized crystal structure of BeFeMo2.

POSCAR file:
```
BeFeMo2
1.0
3.053 0.000 0.000
0.000 4.046 0.000
-1.527 -2.023 4.024
Be Mo Fe
1 2 1
Cartesian
0.000 2.023 0.000
1.527 2.023 2.034
0.000 0.000 1.990
1.527 0.000 0.000
```

Calculated values
Electronic total energy   -9.01 eV/atom
Energy of formation   0.113 eV per atom
Density   8.6 Mg/m³
Space-group type   Immm, No. 71
M_tot   0.70 μB per formula unit
Calculated volume   49.7 Å³ per cell

=====

Q: Which of these has the highest calculated volume?
A: number 4

=====

What did the fourth record say?
The following is a DFT calculation (PBEsol) of an optimized crystal structure of BeFeMo2.

POSCAR file:
```
BeFeMo2
1.0
3.053 0.000 0.000
0.000 4.046 0.000
-1.527 -2.023 4.024
Be Mo Fe
1 2 1
Cartesian
0.000 2.023 0.000
1.527 2.023 2.034
0.000 0.000 1.990
1.527 0.000 0.000
```

Calculated values
Electronic total energy   -9.01 eV/atom
Energy of formation   0.113 eV per atom
Density   8.6 Mg/m³
Space-group type   Immm, No. 71
M_tot   0.70 μB per formula unit
Calculated volume   49.7 Å³ per cell